(1)
4
Lattice="3.077 0.000 0.000 0.000 4.358 0.000 0.000 0.000 4.452" Properties=species:S:1:pos:R:3 comment="GGA-PBEsol ReRuW2, relaxed" ef_mev_per_atom=243 relative_energy_ev_per_atom=0.089 pbc="T T T"
Re 1.538 2.179 0.000
W 1.538 0.000 2.226
W 0.000 0.000 0.000
Ru 0.000 2.179 2.226

(2)
4
Lattice="-2.490 0.703 -2.876 -2.954 -0.857 2.347 -0.212 3.733 1.096" Properties=species:S:1:pos:R:3 comment="GGA-PBEsol Re2RuW, relaxed" ef_mev_per_atom=72 relative_energy_ev_per_atom=0.000 pbc="T T T"
Re -1.477 -0.428 1.173
Ru -2.828 1.790 0.283
W -0.106 1.867 0.548
Re -1.245 0.351 -1.438

(3)
4
Lattice="2.735 0.000 0.000 1.367 2.368 0.000 1.367 0.789 9.059" Properties=species:S:1:pos:R:3 comment="GGA-PBEsol Re2RuW, relaxed" ef_mev_per_atom=173 relative_energy_ev_per_atom=0.101 pbc="T T T"
Ru 2.735 1.579 4.529
W 0.000 0.000 0.000
Re 1.367 0.789 2.343
Re 4.102 2.368 6.716

(4)
4
Lattice="3.941 0.000 0.000 0.000 3.941 0.000 -1.970 -1.970 3.837" Properties=species:S:1:pos:R:3 comment="GGA-PBEsol ReRuW2, relaxed" ef_mev_per_atom=155 relative_energy_ev_per_atom=0.000 pbc="T T T"
W 1.970 0.000 1.919
Ru 0.000 0.000 0.000
Re 1.970 1.970 0.000
W 0.000 1.970 1.919

(5)
4
Lattice="-2.413 -0.536 1.146 0.295 -2.638 -0.615 3.560 -1.217 6.928" Properties=species:S:1:pos:R:3 comment="GGA-PBEsol Re2RuW, relaxed" ef_mev_per_atom=133 relative_energy_ev_per_atom=0.061 pbc="T T T"
Ru -1.059 -1.587 0.266
Re 2.712 -0.927 5.277
W 0.721 -2.196 3.730
Re 0.848 -0.290 1.651

(6)
4
Lattice="2.740 0.000 0.000 0.000 3.853 0.000 0.000 0.000 5.546" Properties=species:S:1:pos:R:3 comment="GGA-PBEsol Re2RuW, relaxed" ef_mev_per_atom=130 relative_energy_ev_per_atom=0.058 pbc="T T T"
W 1.370 1.926 2.773
Re 0.000 0.000 4.223
Re 0.000 0.000 1.323
Ru 1.370 1.926 0.000

(7)
3
Lattice="-4.181 0.441 1.211 -3.148 0.183 -3.032 -2.779 -3.346 -0.473" Properties=species:S:1:pos:R:3 comment="GGA-PBEsol YReRu, relaxed" ef_mev_per_atom=646 relative_energy_ev_per_atom=0.487 pbc="T T T"
Ru 0.000 0.000 0.000
Y -5.054 -1.361 -1.147
Re -7.581 -2.041 -1.720

(8)
3
Lattice="4.078 0.000 0.000 -2.039 3.532 0.000 0.000 0.000 4.344" Properties=species:S:1:pos:R:3 comment="GGA-PBEsol YReRu, relaxed" ef_mev_per_atom=158 relative_energy_ev_per_atom=0.000 pbc="T T T"
Y 0.000 2.355 1.450
Ru 2.039 1.177 3.503
Re 0.000 0.000 3.734

> Which formula does entry 3 have?

Re2RuW

> Which formula does entry 3 have?

Re2RuW